[1]
Compound: CaLa2Nd2Cd5
Source: Alexandria
Functional: PBE
Structure: relaxed

Output
- formation energy from the elements (eV/atom) = -0.204

Unit cell a=4.864 b=10.960 c=10.960 alpha=90.00 beta=90.00 gamma=90.00
Atoms (fractional coordinates):
Ca 0.000 0.000 0.000
Ca 0.000 0.500 0.500
La 0.000 0.675 0.175
La 0.000 0.325 0.825
La 0.000 0.175 0.325
La 0.000 0.825 0.675
Nd 0.000 0.126 0.626
Nd 0.000 0.874 0.374
Nd 0.000 0.626 0.874
Nd 0.000 0.374 0.126
Cd 0.500 0.192 0.066
Cd 0.500 0.808 0.934
Cd 0.500 0.066 0.808
Cd 0.500 0.692 0.434
Cd 0.500 0.934 0.192
Cd 0.500 0.308 0.566
Cd 0.500 0.566 0.692
Cd 0.500 0.434 0.308
Cd 0.500 0.500 0.000
Cd 0.500 0.000 0.500

---

[2]
Compound: Er3TcSb
Source: Alexandria
Functional: PBE
Structure: relaxed

Output
- total DFT energy (no corrections) (Ha/atom) = -0.2225

Unit cell a=4.097 b=8.073 c=8.459 alpha=94.59 beta=89.99 gamma=104.68
Atoms (fractional coordinates):
Er 0.076 0.186 0.413
Er 0.423 0.880 0.653
Er 0.621 0.274 0.769
Er 0.967 0.968 0.008
Er 0.266 0.565 0.014
Er 0.778 0.589 0.407
Tc 0.235 0.503 0.674
Tc 0.809 0.651 0.748
Sb 0.415 0.863 0.280
Sb 0.629 0.291 0.141

---

[3]
Compound: NbGa2Re
Source: Alexandria
Functional: PBE
Structure: relaxed

Output
- distance to the lowest polymorph of the same formula (meV/atom) = 0
- formation energy from the elements (eV/atom) = 0.086

Unit cell a=4.443 b=4.443 c=4.443 alpha=60.00 beta=60.00 gamma=60.00
Atoms (fractional coordinates):
Re 0.500 0.500 0.500
Nb 0.000 0.000 0.000
Ga 0.250 0.250 0.250
Ga 0.750 0.750 0.750

---

[4]
Compound: Fe9Co11Ge4
Source: Alexandria
Functional: PBE
Structure: relaxed

Output
- formation energy from the elements (eV/atom) = -0.029

Unit cell a=2.780 b=10.556 c=10.556 alpha=113.17 beta=90.00 gamma=90.00
Each line ends with the local moment (μB).
Atoms (fractional coordinates):
Fe 0.500 0.634 0.147  2.72
Fe 0.500 0.366 0.853  2.72
Fe 0.500 0.147 0.634  2.72
Fe 0.500 0.853 0.366  2.72
Fe 0.500 0.795 0.963  2.76
Fe 0.500 0.205 0.037  2.76
Fe 0.500 0.963 0.795  2.76
Fe 0.500 0.037 0.205  2.76
Fe 0.500 0.500 0.500  2.21
Co 0.000 0.589 0.943  1.33
Co 0.000 0.411 0.057  1.33
Co 0.000 0.943 0.589  1.33
Co 0.000 0.057 0.411  1.33
Co 0.000 0.642 0.358  0.82
Co 0.000 0.358 0.642  0.82
Co 0.000 0.835 0.165  1.67
Co 0.000 0.165 0.835  1.67
Co 0.000 0.000 0.000  1.77
Co 0.000 0.747 0.747  1.11
Co 0.000 0.253 0.253  1.11
Ge 0.500 0.557 0.748  -0.06
Ge 0.500 0.443 0.252  -0.06
Ge 0.500 0.748 0.557  -0.06
Ge 0.500 0.252 0.443  -0.06

---

[5]
Compound: ZrSc2Fe
Source: Alexandria
Functional: PBE
Structure: relaxed

Output
- distance to the lowest polymorph of the same formula (meV/atom) = 230
- formation energy from the elements (eV/atom) = 0.122

Unit cell a=4.359 b=3.195 c=5.818 alpha=73.51 beta=90.00 gamma=90.00
Each line ends with the local moment (μB).
Atoms (fractional coordinates):
Fe 0.500 0.750 0.750  0.91
Sc 0.000 0.912 0.974  -0.12
Sc 0.000 0.588 0.526  -0.12
Zr 0.500 0.250 0.250  -0.09

---

[6]
Compound: Cs2ZnSe
Source: Alexandria
Functional: PBE
Structure: relaxed

Output
- distance to the lowest polymorph of the same formula (meV/atom) = 0

Unit cell a=6.133 b=6.133 c=6.133 alpha=60.00 beta=60.00 gamma=60.00
Atoms (fractional coordinates):
Cs 0.250 0.250 0.250
Cs 0.750 0.750 0.750
Zn 0.000 0.000 0.000
Se 0.500 0.500 0.500

---

[7]
Compound: Cs2UAlSe5
Source: Alexandria
Functional: PBE
Structure: relaxed

Output
- total DFT energy (no corrections) (Ha/atom) = -0.1805

Unit cell a=4.197 b=10.647 c=15.437 alpha=90.00 beta=90.00 gamma=101.37
Each line ends with the local moment (μB).
Atoms (fractional coordinates):
Cs 0.875 0.750 0.825  0.00
Cs 0.121 0.243 0.686  0.00
Cs 0.125 0.250 0.325  0.00
Cs 0.879 0.757 0.186  0.00
U 0.800 0.600 0.523  1.35
U 0.200 0.400 0.023  1.35
Al 0.572 0.144 0.925  0.00
Al 0.428 0.856 0.425  0.00
Se 0.323 0.647 0.007  -0.08
Se 0.689 0.378 0.897  -0.04
Se 0.511 0.023 0.802  -0.01
Se 0.302 0.604 0.641  -0.06
Se 0.937 0.875 0.519  -0.03
Se 0.677 0.353 0.507  -0.08
Se 0.311 0.622 0.397  -0.04
Se 0.489 0.977 0.302  -0.01
Se 0.698 0.396 0.141  -0.06
Se 0.063 0.125 0.019  -0.03

---

[8]
Compound: Mn2AgI6
Source: Alexandria
Functional: PBE
Structure: relaxed

Output
- distance to the lowest polymorph of the same formula (meV/atom) = 33

Unit cell a=4.551 b=7.583 c=10.706 alpha=96.57 beta=90.00 gamma=107.46
Each line ends with the local moment (μB).
Atoms (fractional coordinates):
Mn 0.737 0.475 0.826  4.07
Mn 0.263 0.525 0.174  4.07
Ag 0.000 0.000 0.500  -0.02
I 0.896 0.792 0.734  0.03
I 0.846 0.692 0.079  0.03
I 0.154 0.308 0.921  0.03
I 0.623 0.245 0.607  -0.02
I 0.377 0.755 0.393  -0.02
I 0.104 0.208 0.266  0.03

---

[9]
Compound: Tl2ZnHgCl6
Source: Alexandria
Functional: PBE
Structure: relaxed

Output
- total DFT energy (no corrections) (Ha/atom) = -0.0967

Unit cell a=7.941 b=7.289 c=7.864 alpha=62.16 beta=52.82 gamma=90.40
Atoms (fractional coordinates):
Tl 0.754 0.227 0.548
Tl 0.246 0.773 0.452
Zn 0.500 0.500 0.000
Hg 0.000 0.000 0.000
Cl 0.329 0.239 0.538
Cl 0.768 0.781 0.895
Cl 0.242 0.687 0.094
Cl 0.758 0.313 0.906
Cl 0.232 0.219 0.105
Cl 0.671 0.761 0.462

---

[10]
Compound: Tb2CdRh
Source: Alexandria
Functional: PBE
Structure: relaxed

Output
- distance to the lowest polymorph of the same formula (meV/atom) = 130
- formation energy from the elements (eV/atom) = -0.472

Unit cell a=3.998 b=3.998 c=8.160 alpha=75.82 beta=75.82 gamma=60.00
Atoms (fractional coordinates):
Tb 0.065 0.065 0.804
Tb 0.268 0.268 0.195
Cd 0.501 0.501 0.497
Rh 0.666 0.666 0.003

---

[11]
Compound: ScCuIr2
Source: Alexandria
Functional: PBE
Structure: relaxed

Output
- formation energy from the elements (eV/atom) = -0.138

Unit cell a=2.808 b=2.808 c=8.263 alpha=90.00 beta=90.00 gamma=110.14
Atoms (fractional coordinates):
Cu 0.500 0.500 0.750
Ir 0.000 0.000 0.997
Ir 0.000 0.000 0.503
Sc 0.500 0.500 0.250

---

[12]
Compound: Dy2MgCu3Ge4
Source: Alexandria
Functional: PBE
Structure: relaxed

Output
- formation energy from the elements (eV/atom) = -0.466

Unit cell a=4.084 b=4.084 c=10.802 alpha=90.00 beta=90.00 gamma=90.00
Atoms (fractional coordinates):
Dy 0.500 0.000 0.241
Dy 0.000 0.500 0.759
Mg 0.500 0.500 0.500
Cu 0.000 0.000 0.500
Cu 0.500 0.000 0.868
Cu 0.000 0.500 0.132
Ge 0.500 0.500 0.000
Ge 0.000 0.000 0.000
Ge 0.500 0.000 0.650
Ge 0.000 0.500 0.350

---

Q: Which formula does entry 8 have?
A: Mn2AgI6